Entry from the Alexandria database: a relaxed structure of GaAg2I2 (PBE-GGA).

Spin magnetization   0.00 μB/atom
Crystal system   tetragonal
Formation energy from raw total energies   0.055 eV per atom

Cell lengths 4.085, 4.085, 9.181 Å; angles 77.15, 77.15, 90.00 degrees
Element x y z (fractional)
I 0.391 0.391 0.217
I 0.609 0.609 0.783
Ga 0.000 0.000 0.000
Ag 0.750 0.250 0.500
Ag 0.250 0.750 0.500


Entry from the Alexandria database: a relaxed structure of MnAl (PBE-GGA).

Energy relative to the elements   -0.16 eV per atom
Spin magnetization   0.86 μB/atom
Crystal system   hexagonal

Cell lengths 2.709, 2.709, 4.097 Å; angles 90.00, 90.00, 120.00 degrees
Element x y z (fractional)
Mn 0.667 0.333 0.500
Al 0.000 0.000 0.000


no.,DFT total energy (eV/atom)
1,-2.311
2,-6.617